! DyZrPdAu, optimized geometry, DFT PBE-GGA; values from VASP
! DFT formation energy, eV per atom: -0.6341
! Fermi-level density of states, states/eV/f.u.: 3.1
! Final energy, eV per formula unit: -24.16
! Magnetization, μB per cell: 0.00
&SYSTEM
  ibrav = 0, nat = 4, ntyp = 4
/
ATOMIC_SPECIES
Dy 162.50 Dy.upf
Zr 91.22 Zr.upf
Pd 106.42 Pd.upf
Au 196.97 Au.upf
ATOMIC_POSITIONS crystal
Dy 0.000 0.000 0.000
Zr 0.500 0.500 0.500
Pd 0.750 0.750 0.750
Au 0.250 0.250 0.250
CELL_PARAMETERS angstrom
0.000 3.474 3.474
3.474 0.000 3.474
3.474 3.474 0.000

! Pm2DyAu3, optimized geometry, DFT PBE-GGA; values from VASP
! DFT formation energy, eV per atom: -0.8068
! Fermi-level density of states, states/eV/f.u.: 3.9
! Energy relative to the lowest polymorph listed for this composition, meV/atom: 6
! Final energy, eV per formula unit: -28.78
! Magnetization, μB per cell: 0.00
&SYSTEM
  ibrav = 0, nat = 12, ntyp = 3
/
ATOMIC_SPECIES
Pm 145.00 Pm.upf
Dy 162.50 Dy.upf
Au 196.97 Au.upf
ATOMIC_POSITIONS crystal
Pm 0.250 0.083 0.001
Pm 0.250 0.417 0.001
Pm 0.750 0.583 0.999
Pm 0.750 0.917 0.999
Dy 0.250 0.750 0.999
Dy 0.750 0.250 0.001
Au 0.250 0.250 0.501
Au 0.250 0.591 0.500
Au 0.250 0.909 0.500
Au 0.750 0.091 0.500
Au 0.750 0.409 0.500
Au 0.750 0.750 0.499
CELL_PARAMETERS angstrom
5.173 0.000 0.000
0.000 15.625 0.000
0.000 0.000 3.646

! PmDyAu, optimized geometry, DFT PBE-GGA; values from VASP
! DFT formation energy, eV per atom: -0.3988
! Fermi-level density of states, states/eV/f.u.: 2.3
! Energy relative to the lowest polymorph listed for this composition, meV/atom: 187
! Final energy, eV per formula unit: -13.83
! Magnetization, μB per cell: 0.00
&SYSTEM
  ibrav = 0, nat = 3, ntyp = 3
/
ATOMIC_SPECIES
Pm 145.00 Pm.upf
Dy 162.50 Dy.upf
Au 196.97 Au.upf
ATOMIC_POSITIONS crystal
Pm 0.000 0.000 0.000
Dy 0.667 0.333 0.534
Au 0.333 0.667 0.317
CELL_PARAMETERS angstrom
4.933 0.000 0.000
-2.467 4.272 0.000
0.000 0.000 3.918

! PmDyAu, optimized geometry, DFT PBE-GGA; values from VASP
! DFT formation energy, eV per atom: -0.5176
! Fermi-level density of states, states/eV/f.u.: 3.5
! Energy relative to the lowest polymorph listed for this composition, meV/atom: 68
! Final energy, eV per formula unit: -14.18
! Magnetization, μB per cell: 0.74
&SYSTEM
  ibrav = 0, nat = 3, ntyp = 3
/
ATOMIC_SPECIES
Pm 145.00 Pm.upf
Dy 162.50 Dy.upf
Au 196.97 Au.upf
ATOMIC_POSITIONS crystal
Pm 0.000 0.000 0.000
Dy 0.289 0.289 0.000
Au 0.657 0.657 0.000
CELL_PARAMETERS angstrom
-1.821 1.821 6.246
1.821 -1.821 6.246
1.821 1.821 -6.246

! PmDy2Au3, optimized geometry, DFT PBE-GGA; values from VASP
! DFT formation energy, eV per atom: -0.8395
! Fermi-level density of states, states/eV/f.u.: 2.5
! Final energy, eV per formula unit: -28.82
! Magnetization, μB per cell: 0.00
&SYSTEM
  ibrav = 0, nat = 6, ntyp = 3
/
ATOMIC_SPECIES
Pm 145.00 Pm.upf
Dy 162.50 Dy.upf
Au 196.97 Au.upf
ATOMIC_POSITIONS crystal
Pm 0.000 0.000 0.000
Dy 0.000 0.000 0.336
Dy 0.000 0.000 0.664
Au 0.500 0.500 0.178
Au 0.500 0.500 0.500
Au 0.500 0.500 0.822
CELL_PARAMETERS angstrom
3.605 0.000 0.000
0.000 3.605 0.000
0.000 0.000 11.020

! PmDy2Au, optimized geometry, DFT PBE-GGA; values from VASP
! DFT formation energy, eV per atom: -0.4299
! Fermi-level density of states, states/eV/f.u.: 4.9
! Energy relative to the lowest polymorph listed for this composition, meV/atom: 0
! Final energy, eV per formula unit: -18.95
! Magnetization, μB per cell: 0.00
&SYSTEM
  ibrav = 0, nat = 16, ntyp = 3
/
ATOMIC_SPECIES
Pm 145.00 Pm.upf
Dy 162.50 Dy.upf
Au 196.97 Au.upf
ATOMIC_POSITIONS crystal
Pm 0.003 0.250 0.127
Pm 0.497 0.750 0.627
Pm 0.503 0.250 0.373
Pm 0.997 0.750 0.873
Dy 0.186 0.053 0.680
Dy 0.186 0.447 0.680
Dy 0.314 0.553 0.180
Dy 0.314 0.947 0.180
Dy 0.686 0.053 0.820
Dy 0.686 0.447 0.820
Dy 0.814 0.553 0.320
Dy 0.814 0.947 0.320
Au 0.105 0.750 0.434
Au 0.395 0.250 0.934
Au 0.605 0.750 0.066
Au 0.895 0.250 0.566
CELL_PARAMETERS angstrom
6.996 0.000 0.000
0.000 9.976 0.000
0.000 0.000 6.673

! Pm2DyAu3, optimized geometry, DFT PBE-GGA; values from VASP
! DFT formation energy, eV per atom: -0.8131
! Fermi-level density of states, states/eV/f.u.: 2.8
! Energy relative to the lowest polymorph listed for this composition, meV/atom: 0
! Final energy, eV per formula unit: -28.81
! Magnetization, μB per cell: 0.00
&SYSTEM
  ibrav = 0, nat = 6, ntyp = 3
/
ATOMIC_SPECIES
Pm 145.00 Pm.upf
Dy 162.50 Dy.upf
Au 196.97 Au.upf
ATOMIC_POSITIONS crystal
Pm 0.000 0.000 0.169
Pm 0.000 0.000 0.831
Dy 0.000 0.000 0.500
Au 0.500 0.500 0.000
Au 0.500 0.500 0.344
Au 0.500 0.500 0.656
CELL_PARAMETERS angstrom
3.640 0.000 0.000
0.000 3.640 0.000
0.000 0.000 11.105

! PmDy5Au4, optimized geometry, DFT PBE-GGA; values from VASP
! DFT formation energy, eV per atom: -0.6837
! Fermi-level density of states, states/eV/f.u.: 7.6
! Final energy, eV per formula unit: -47.71
! Magnetization, μB per cell: 0.00
&SYSTEM
  ibrav = 0, nat = 10, ntyp = 3
/
ATOMIC_SPECIES
Pm 145.00 Pm.upf
Dy 162.50 Dy.upf
Au 196.97 Au.upf
ATOMIC_POSITIONS crystal
Pm 0.000 0.000 0.000
Dy 0.500 0.500 0.132
Dy 0.500 0.500 0.315
Dy 0.500 0.500 0.500
Dy 0.500 0.500 0.685
Dy 0.500 0.500 0.868
Au 0.000 0.000 0.221
Au 0.000 0.000 0.407
Au 0.000 0.000 0.593
Au 0.000 0.000 0.779
CELL_PARAMETERS angstrom
3.580 0.000 0.000
0.000 3.580 0.000
0.000 0.000 19.703